# 1
Nd7Y4Er: optimized geometry, PBE-GGA.

Results
energy relative to the elements	3.0	eV/f.u.

```
Nd7Y4Er
1.0
-2.2642 3.4824 4.4231
-2.8742 -7.4990 8.5947
4.4308 2.3998 4.5406
Nd Y Er
7 4 1
direct
0.7893 0.9220 0.4994
0.2107 0.0780 0.5006
0.0632 0.6843 0.1893
0.9368 0.3157 0.8107
0.3691 0.5003 0.7614
0.5000 0.0000 0.0000
0.6309 0.4997 0.2386
0.6443 0.2236 0.4878
0.3557 0.7764 0.5122
0.7613 0.6776 0.7998
0.2387 0.3224 0.2002
0.0000 0.0000 0.0000
```

# 2
PrMg2H8Os: optimized geometry, PBE-GGA.

```
PrMg2H8Os
1.0
4.5015 0.0000 0.0000
-2.2507 3.8984 0.0000
0.0000 0.0000 6.6653
Pr Mg H Os
1 2 8 1
direct
0.0000 0.0000 0.5000
0.6667 0.3333 0.1352
0.3333 0.6667 0.8648
0.8315 0.6630 0.8347
0.3370 0.1685 0.8347
0.8315 0.1685 0.8347
0.1685 0.3370 0.1653
0.6630 0.8315 0.1653
0.1685 0.8315 0.1653
0.6667 0.3333 0.4322
0.3333 0.6667 0.5678
0.0000 0.0000 0.0000
```

# 3
Y2MgAl: optimized geometry, PBE-GGA.

Results
energy relative to the lowest polymorph listed for this composition	0.239	eV per atom
energy relative to the elements	-0.3	eV/f.u.

```
Y2MgAl
1.0
-2.0236 -0.1345 -2.7854
0.5093 -4.6704 -0.1445
-5.1872 -0.6833 3.8015
Al Mg Y
1 1 2
direct
0.0000 0.0000 0.4845
0.5000 0.5000 0.7556
0.0000 0.0000 0.9847
0.5000 0.5000 0.2752
```

# 4
ZrScFe: optimized geometry, PBE-GGA.

Results
energy relative to the lowest polymorph listed for this composition	0.163	eV per atom
energy relative to the elements	0.2	eV/f.u.

```
ZrScFe
1.0
4.1497 0.0000 0.0000
-2.0748 3.7856 -0.6957
0.0000 -0.8396 7.7647
Fe Sc Zr
2 2 2
direct
0.2431 0.4862 0.7375
0.7569 0.5138 0.2625
0.3745 0.7490 0.1222
0.6255 0.2510 0.8778
0.1244 0.2488 0.3726
0.8756 0.7512 0.6274
```

# 5
Cs2CaIrO6: optimized geometry, PBE-GGA.

Results
energy relative to the elements, uncorrected	-1371	meV per atom

```
Cs2CaIrO6
1.0
-0.5642 -2.5580 -5.5298
-4.6779 -3.7685 -1.1648
-4.4992 1.7756 -3.7477
Cs Ca Ir O
2 1 1 6
direct
0.7500 0.7500 0.7500
0.2500 0.2500 0.2500
0.5000 0.5000 0.5000
0.0000 0.0000 0.0000
0.2204 0.7796 0.7796
0.2204 0.7796 0.2204
0.2204 0.2204 0.7796
0.7796 0.7796 0.2204
0.7796 0.2204 0.2204
0.7796 0.2204 0.7796
```

# 6
Ta3Os: optimized geometry, PBE-GGA.

Results
energy relative to the elements	-1.1	eV/f.u.

```
Ta3Os
1.0
-5.3674 1.5025 -0.5807
-2.4749 -0.0645 5.0274
1.1602 4.3870 0.6274
Os Ta
2 6
direct
0.3733 0.3733 0.2500
0.6267 0.6267 0.7500
0.1284 0.6219 0.7500
0.1230 0.1230 0.7500
0.3781 0.8716 0.2500
0.6219 0.1284 0.7500
0.8770 0.8770 0.2500
0.8716 0.3781 0.2500
```

# 7
Pr8InPb5: optimized geometry, PBE-GGA.

Results
energy relative to the elements	-7.5	eV/f.u.

```
Pr8InPb5
1.0
7.9943 0.0000 -2.7773
-3.9753 6.9093 -2.8428
-0.0438 0.0000 8.4629
Pr In Pb
8 1 5
direct
0.1289 0.7530 0.0163
0.9837 0.1125 0.7367
0.7631 0.2468 0.3722
0.6278 0.3909 0.8746
0.4837 0.6091 0.2369
0.6241 0.8875 0.8711
0.2633 0.2470 0.3759
0.1254 0.7532 0.5163
0.2500 0.5000 0.7500
0.0014 0.3769 0.1282
0.8718 0.8731 0.2486
0.7514 0.6231 0.6245
0.5000 0.0000 0.5000
0.3755 0.1269 0.9986
```

# 8
Li2Ac3Tl2: optimized geometry, PBE-GGA.

Results
energy relative to the elements	-1.4	eV/f.u.

```
Li2Ac3Tl2
1.0
0.0459 3.9159 0.6547
-3.8489 0.6033 -3.3384
-5.4227 -3.5466 9.5536
Li Ac Tl
2 3 2
direct
0.5674 0.5674 0.1348
0.4326 0.4326 0.8652
0.0000 0.0000 0.0000
0.1971 0.6971 0.3943
0.8029 0.3029 0.6057
0.6348 0.1348 0.2695
0.3652 0.8652 0.7305
```

# 9
TlTeAs2: optimized geometry, PBE-GGA.

Results
energy relative to the lowest polymorph listed for this composition	0.125	eV per atom
energy relative to the elements, uncorrected	139	meV per atom

```
TlTeAs2
1.0
-2.6561 -3.1366 0.0735
1.9173 -1.5466 3.2894
-4.0220 3.4994 3.9896
Tl Te As
1 1 2
direct
0.5000 0.5000 0.7035
0.0000 0.0000 0.5323
0.0000 0.0000 0.1405
0.5000 0.5000 0.1236
```

# 10
LaRuRh2: optimized geometry, PBE-GGA.

Results
energy relative to the lowest polymorph listed for this composition	0.460	eV per atom
energy relative to the elements	1.5	eV/f.u.

```
LaRuRh2
1.0
-3.3027 7.7866 -4.7211
-5.8230 6.4395 -4.2959
-4.7337 8.1495 -2.2375
La Rh Ru
1 2 1
direct
0.7500 0.7500 0.7500
0.9898 0.9898 0.9898
0.5102 0.5102 0.5102
0.2500 0.2500 0.2500
```

# 11
ZrCd2W2: optimized geometry, PBE-GGA.

Results
energy relative to the lowest polymorph listed for this composition	0.303	eV per atom
energy relative to the elements	4.5	eV/f.u.

```
ZrCd2W2
1.0
-0.7623 -3.6971 -6.3914
6.4612 -3.4439 1.2215
-1.6808 -2.5576 1.6799
Zr W Cd
2 4 4
direct
0.0000 0.0000 0.0000
0.5000 0.5000 0.0000
0.1724 0.6724 0.5000
0.6724 0.8276 0.5000
0.8276 0.3276 0.5000
0.3276 0.1724 0.5000
0.3719 0.8719 0.0000
0.8719 0.6281 0.0000
0.6281 0.1281 0.0000
0.1281 0.3719 0.0000
```

# 12
NaAcZnAg: optimized geometry, PBE-GGA.

Results
energy relative to the elements	-0.4	eV/f.u.

```
NaAcZnAg
1.0
5.3464 0.0000 0.0000
2.6732 4.6301 0.0000
2.6732 1.5434 4.3653
Na Ac Zn Ag
1 1 1 1
direct
0.5000 0.5000 0.5000
0.0000 0.0000 0.0000
0.7500 0.7500 0.7500
0.2500 0.2500 0.2500
```

# 13
FeHg: optimized geometry, PBE-GGA.

Results
energy relative to the elements	0.9	eV/f.u.

```
FeHg
1.0
2.1243 4.7238 -0.2269
-2.1243 4.7238 -0.2269
0.0000 2.8604 4.9455
Fe Hg
3 3
direct
0.9519 0.4519 0.6302
0.5481 0.0481 0.3698
0.2500 0.7500 0.5000
0.2501 0.7499 0.0000
0.8970 0.3971 0.1961
0.6029 0.1030 0.8039
```

# 14
CaPr2TlN: optimized geometry, PBE-GGA.

Results
energy relative to the elements, uncorrected	-767	meV per atom

```
CaPr2TlN
1.0
-1.1337 -0.6600 -4.7284
4.9090 -0.9316 -1.0469
-0.7569 -4.9722 0.8755
Ca Pr Tl N
1 2 1 1
direct
0.5000 0.0000 0.0000
0.0000 0.0000 0.5000
0.0000 0.5000 0.0000
0.5000 0.5000 0.5000
0.0000 0.0000 0.0000
```

# 15
CdCuIr2: optimized geometry, PBE-GGA.

Results
energy relative to the elements	1.5	eV/f.u.

```
CdCuIr2
1.0
4.9008 0.0064 0.0000
-1.8931 4.5204 0.0000
0.0000 0.0000 2.7793
Cd Cu Ir
1 1 2
direct
0.5000 0.0000 0.5000
0.0000 0.5000 0.5000
0.0000 0.0000 0.0000
0.5000 0.5000 0.0000
```

no.,total DFT energy (no corrections) (eV per atom)
1,-5.064
2,-4.189
3,-4.631
4,-7.702
5,-5.603
6,-11.972
7,-4.788
8,-3.185
9,-3.563
10,-6.864
11,-6.366
12,-2.485
13,-3.944
14,-5.217
15,-5.317